Entry 1:
Density functional theory data (PBE) for a relaxed Ca3Eu crystal.

Structure (POSCAR):
```
Ca3Eu
1.0
6.199 0.000 0.000
3.099 5.368 0.000
3.099 1.789 5.061
Ca Eu
3 1
direct
0.250 0.250 0.250
0.000 0.000 0.000
0.750 0.750 0.750
0.500 0.500 0.500
```

***

Entry 2:
Density functional theory data (PBE) for a relaxed Ca3Eu crystal.

Structure (POSCAR):
```
Ca3Eu
1.0
3.880 0.000 0.000
0.000 6.450 0.000
0.000 0.000 6.787
Ca Eu
3 1
direct
0.500 0.500 0.831
0.500 0.000 0.502
0.000 0.500 0.332
0.000 0.000 0.001
```

***

Entry 3:
Density functional theory data (PBE) for a relaxed Ca3Eu crystal.

Structure (POSCAR):
```
Ca3Eu
1.0
-1.521 -0.706 -5.357
2.301 -5.120 0.021
-5.105 0.800 4.285
Eu Ca
1 3
direct
0.000 0.000 0.000
0.750 0.250 0.500
0.250 0.750 0.500
0.500 0.500 0.000
```

***

Calculated formation energy (eV per atom)
0.0221; 0.0160; 0.0190
Theoretical density (g/cm3)
2.7; 2.7; 2.6